Model 1:
The following is a PBE calculation of a relaxed structure of YTiF2, from Alexandria.

M_tot (Bohr magnetons per cell): 4.00

Cell lengths 4.639, 4.639, 12.647 Å; angles 90.00, 90.00, 90.00 degrees
Space group I-42d (No. 122)
Unique sites:
Y1 0.000 0.000 0.000 (multiplicity 4)
Ti1 0.000 0.000 0.500 (multiplicity 4)
F1 0.124 0.250 0.625 (multiplicity 8)

Model 2:
The following is a PBE calculation of a relaxed structure of YTiF2, from Alexandria.

M_tot (Bohr magnetons per cell): 4.62

Cell lengths 3.1500, 3.1500, 22.6457 Å; angles 90.00, 90.00, 120.00 degrees
Space group R-3m (No. 166, hexagonal axes)
Unique sites:
Y1 0.0000 0.0000 0.0000 (multiplicity 3)
Ti1 0.0000 0.0000 0.5000 (multiplicity 3)
F1 0.0000 0.0000 0.4073 (multiplicity 6)

model 2 is preferred energetically. Next in line: 94 meV/atom higher.

Model 1:
The following is a PBE calculation of a relaxed structure of YTiF3, from Alexandria.

M_tot (Bohr magnetons per cell): 3.71

Cell lengths 4.250, 4.250, 4.250 Å; angles 90.00, 90.00, 90.00 degrees
Space group Pm-3m (No. 221)
Unique sites:
Y1 0.000 0.000 0.000 (multiplicity 1)
Ti1 0.500 0.500 0.500 (multiplicity 1)
F1 0.000 0.500 0.500 (multiplicity 3)

Model 2:
The following is a PBE calculation of a relaxed structure of YTiF3, from Alexandria.

M_tot (Bohr magnetons per cell): 3.48

Cell lengths 4.517, 4.517, 4.517 Å; angles 90.00, 90.00, 90.00 degrees
Space group Pm-3m (No. 221)
Unique sites:
Y1 0.000 0.000 0.000 (multiplicity 1)
Ti1 0.500 0.500 0.500 (multiplicity 1)
F1 0.000 0.000 0.500 (multiplicity 3)

model 2 is preferred energetically. Next in line: 122 meV/atom higher.

Model 1:
The following is a PBE calculation of a relaxed structure of Ti2ZnF, from Alexandria.

M_tot (Bohr magnetons per cell): 0.00

Cell lengths 6.170, 6.170, 6.170 Å; angles 90.00, 90.00, 90.00 degrees
Space group Fm-3m (No. 225)
Unique sites:
Ti1 0.250 0.250 0.250 (multiplicity 8)
Zn1 0.000 0.000 0.000 (multiplicity 4)
F1 0.000 0.000 0.500 (multiplicity 4)

Model 2:
The following is a PBE calculation of a relaxed structure of Ti2ZnF, from Alexandria.

M_tot (Bohr magnetons per cell): 0.00

Cell lengths 4.880, 4.880, 11.735 Å; angles 90.00, 90.00, 90.00 degrees
Space group I-42d (No. 122)
Unique sites:
Ti1 0.144 0.250 0.125 (multiplicity 8)
Zn1 0.000 0.000 0.500 (multiplicity 4)
F1 0.000 0.000 0.000 (multiplicity 4)

model 2 is preferred energetically. Next in line: 36 meV/atom higher.

Model 1:
The following is a PBE calculation of a relaxed structure of TiZn2F, from Alexandria.

M_tot (Bohr magnetons per cell): 1.76

Cell lengths 6.289, 6.289, 6.289 Å; angles 90.00, 90.00, 90.00 degrees
Space group Fm-3m (No. 225)
Unique sites:
Ti1 0.000 0.000 0.000 (multiplicity 4)
Zn1 0.250 0.250 0.250 (multiplicity 8)
F1 0.000 0.000 0.500 (multiplicity 4)

Model 2:
The following is a PBE calculation of a relaxed structure of TiZn2F, from Alexandria.

M_tot (Bohr magnetons per cell): 7.76

Cell lengths 7.364, 7.364, 4.579 Å; angles 90.00, 90.00, 90.00 degrees
Space group I-42d (No. 122)
Unique sites:
Ti1 0.000 0.000 0.000 (multiplicity 4)
Zn1 0.205 0.250 0.625 (multiplicity 8)
F1 0.000 0.000 0.500 (multiplicity 4)

model 2 is preferred energetically. Next in line: 430 meV/atom higher.

Model 1:
The following is a PBE calculation of a relaxed structure of TiZnF5, from Alexandria.

M_tot (Bohr magnetons per cell): 4.00

Cell lengths 8.670, 6.370, 7.546 Å; angles 90.00, 115.95, 90.00 degrees
Space group C2/c (No. 15)
Unique sites:
Ti1 0.000 0.000 0.000 (multiplicity 4)
Zn1 0.000 0.476 0.250 (multiplicity 4)
F1 0.000 0.129 0.250 (multiplicity 4)
F2 0.022 0.306 0.956 (multiplicity 8)
F3 0.243 0.035 0.633 (multiplicity 8)

Model 2:
The following is a PBE calculation of a relaxed structure of TiZnF5, from Alexandria.

M_tot (Bohr magnetons per cell): 4.00

Cell lengths 5.526, 10.029, 7.739 Å; angles 90.00, 113.74, 90.00 degrees
Space group P2_1/c (No. 14)
Unique sites:
Ti1 0.037 0.242 0.416 (multiplicity 4)
Zn1 0.469 0.011 0.279 (multiplicity 4)
F1 0.043 0.210 0.671 (multiplicity 4)
F2 0.189 0.587 0.186 (multiplicity 4)
F3 0.285 0.116 0.039 (multiplicity 4)
F4 0.287 0.649 0.651 (multiplicity 4)
F5 0.344 0.105 0.462 (multiplicity 4)

model 2 is preferred energetically. Next in line: 9 meV/atom higher.

Model 1:
The following is a PBE calculation of a relaxed structure of TiZn3F, from Alexandria.

M_tot (Bohr magnetons per cell): 2.78

Cell lengths 5.219, 5.219, 5.219 Å; angles 90.00, 90.00, 90.00 degrees
Space group Pm-3m (No. 221)
Unique sites:
Ti1 0.000 0.000 0.000 (multiplicity 1)
Zn1 0.000 0.000 0.500 (multiplicity 3)
F1 0.500 0.500 0.500 (multiplicity 1)

Model 2:
The following is a PBE calculation of a relaxed structure of TiZn3F, from Alexandria.

M_tot (Bohr magnetons per cell): 1.71

Cell lengths 4.335, 4.335, 4.335 Å; angles 90.00, 90.00, 90.00 degrees
Space group Pm-3m (No. 221)
Unique sites:
Ti1 0.000 0.000 0.000 (multiplicity 1)
Zn1 0.000 0.500 0.500 (multiplicity 3)
F1 0.500 0.500 0.500 (multiplicity 1)

model 2 is preferred energetically. Next in line: 675 meV/atom higher.

Model 1:
The following is a PBE calculation of a relaxed structure of ZrTi2F, from Alexandria.

M_tot (Bohr magnetons per cell): 0.00

Cell lengths 7.270, 7.270, 4.951 Å; angles 90.00, 90.00, 90.00 degrees
Space group I-42d (No. 122)
Unique sites:
Zr1 0.000 0.000 0.000 (multiplicity 4)
Ti1 0.151 0.250 0.625 (multiplicity 8)
F1 0.000 0.000 0.500 (multiplicity 4)

Model 2:
The following is a PBE calculation of a relaxed structure of ZrTi2F, from Alexandria.

M_tot (Bohr magnetons per cell): 0.00

Cell lengths 6.486, 6.486, 6.486 Å; angles 90.00, 90.00, 90.00 degrees
Space group Fm-3m (No. 225)
Unique sites:
Zr1 0.000 0.000 0.000 (multiplicity 4)
Ti1 0.250 0.250 0.250 (multiplicity 8)
F1 0.000 0.000 0.500 (multiplicity 4)

model 1 is preferred energetically. Next in line: 739 meV/atom higher.

Model 1:
The following is a PBE calculation of a relaxed structure of Zr3TiF, from Alexandria.

M_tot (Bohr magnetons per cell): 0.00

Cell lengths 4.995, 4.995, 4.995 Å; angles 90.00, 90.00, 90.00 degrees
Space group Pm-3m (No. 221)
Unique sites:
Zr1 0.000 0.000 0.500 (multiplicity 3)
Ti1 0.000 0.000 0.000 (multiplicity 1)
F1 0.500 0.500 0.500 (multiplicity 1)

Model 2:
The following is a PBE calculation of a relaxed structure of Zr3TiF, from Alexandria.

M_tot (Bohr magnetons per cell): 0.00

Cell lengths 4.561, 4.561, 4.561 Å; angles 90.00, 90.00, 90.00 degrees
Space group Pm-3m (No. 221)
Unique sites:
Zr1 0.000 0.000 0.500 (multiplicity 3)
Ti1 0.500 0.500 0.500 (multiplicity 1)
F1 0.000 0.000 0.000 (multiplicity 1)

model 2 is preferred energetically. Next in line: 1248 meV/atom higher.

Model 1:
The following is a PBE calculation of a relaxed structure of Zr2TiF, from Alexandria.

M_tot (Bohr magnetons per cell): 8.91

Cell lengths 6.721, 6.721, 6.721 Å; angles 90.00, 90.00, 90.00 degrees
Space group Fm-3m (No. 225)
Unique sites:
Zr1 0.250 0.250 0.250 (multiplicity 8)
Ti1 0.000 0.000 0.000 (multiplicity 4)
F1 0.000 0.000 0.500 (multiplicity 4)

Model 2:
The following is a PBE calculation of a relaxed structure of Zr2TiF, from Alexandria.

M_tot (Bohr magnetons per cell): 0.00

Cell lengths 6.988, 6.988, 6.196 Å; angles 90.00, 90.00, 90.00 degrees
Space group I-42d (No. 122)
Unique sites:
Zr1 0.169 0.750 0.125 (multiplicity 8)
Ti1 0.000 0.000 0.500 (multiplicity 4)
F1 0.000 0.000 0.000 (multiplicity 4)

model 2 is preferred energetically. Next in line: 574 meV/atom higher.

Model 1:
The following is a PBE calculation of a relaxed structure of TmTlF4, from Alexandria.

M_tot (Bohr magnetons per cell): 0.00

Cell lengths 3.820, 3.820, 6.692 Å; angles 90.00, 90.00, 90.00 degrees
Space group P4/mmm (No. 123)
Unique sites:
Tm1 0.000 0.000 0.000 (multiplicity 1)
Tl1 0.500 0.500 0.500 (multiplicity 1)
F1 0.000 0.500 0.186 (multiplicity 4)

Model 2:
The following is a PBE calculation of a relaxed structure of TmTlF4, from Alexandria.

M_tot (Bohr magnetons per cell): 0.00

Cell lengths 4.334, 17.520, 6.479 Å; angles 90.00, 90.00, 90.00 degrees
Space group Cmcm (No. 63)
Unique sites:
Tm1 0.000 0.083 0.250 (multiplicity 4)
Tl1 0.000 0.310 0.250 (multiplicity 4)
F1 0.000 0.000 0.000 (multiplicity 4)
F2 0.000 0.172 0.029 (multiplicity 8)
F3 0.000 0.421 0.750 (multiplicity 4)

model 2 is preferred energetically. Next in line: 51 meV/atom higher.